{
  "formula": "K2NdW3O12",
  "functional": "PBE with a Hubbard U",
  "state": "relaxed",
  "e_tot_ry_per_atom": -0.516,
  "spacegroup": "No. 166",
  "cell": [[3.776, 2.180, 6.348], [-3.776, 2.180, 6.348], [0.000, -4.360, 6.348]],
  "species": ["K", "K", "Nd", "W", "W", "W", "O", "O", "O", "O", "O", "O", "O", "O", "O", "O", "O", "O"],
  "frac_coords": [[0.153, 0.153, 0.153], [0.847, 0.847, 0.847], [0.500, 0.500, 0.500], [0.000, 0.500, 0.500], [0.500, 0.000, 0.500], [0.500, 0.500, 0.000], [0.127, 0.586, 0.586], [0.205, 0.205, 0.569], [0.205, 0.569, 0.205], [0.414, 0.414, 0.873], [0.414, 0.873, 0.414], [0.431, 0.795, 0.795], [0.569, 0.205, 0.205], [0.586, 0.127, 0.586], [0.586, 0.586, 0.127], [0.795, 0.431, 0.795], [0.795, 0.795, 0.431], [0.873, 0.414, 0.414]]
}